# KPrBiSe3 (PBE, optimized geometry)
data_KPrBiSe3
_chemical_formula_sum 'K4 Pr4 Bi4 Se12'
_space_group_name_H-M_alt 'C m c m'
_space_group_IT_number 63
_space_group_name_Hall '-C 2c 2'
_cell_length_a 4.438
_cell_length_b 16.023
_cell_length_c 11.401
_cell_angle_alpha 90.00
_cell_angle_beta 90.00
_cell_angle_gamma 90.00
loop_
_atom_site_label
_atom_site_fract_x
_atom_site_fract_y
_atom_site_fract_z
K1 0.000 0.249 0.250
Pr1 0.000 0.000 0.000
Bi1 0.000 0.462 0.750
Se1 0.000 0.095 0.750
Se2 0.000 0.372 0.537
# E: -4.380 eV per atom

=====

# KBiPt (PBE, optimized geometry)
data_KBiPt
_chemical_formula_sum 'K4 Bi4 Pt4'
_space_group_name_H-M_alt 'C 1 2/m 1'
_space_group_IT_number 12
_space_group_name_Hall '-C 2y'
_cell_length_a 12.683
_cell_length_b 4.776
_cell_length_c 6.378
_cell_angle_alpha 90.00
_cell_angle_beta 101.87
_cell_angle_gamma 90.00
loop_
_atom_site_label
_atom_site_fract_x
_atom_site_fract_y
_atom_site_fract_z
K1 0.127 0.000 0.348
Bi1 0.095 0.500 0.841
Pt1 0.201 0.000 0.894
# Distance to the lowest polymorph of the same formula: 0 meV per atom

=====

# K5Bi2Pt (PBE, optimized geometry)
data_K5Bi2Pt
_chemical_formula_sum 'K15 Bi6 Pt3'
_space_group_name_H-M_alt 'R -3 m'
_space_group_IT_number 166
_space_group_name_Hall '-R 3 2"'
_cell_length_a 6.0228
_cell_length_b 6.0228
_cell_length_c 29.4402
_cell_angle_alpha 90.00
_cell_angle_beta 90.00
_cell_angle_gamma 120.00
loop_
_atom_site_label
_atom_site_fract_x
_atom_site_fract_y
_atom_site_fract_z
K1 0.0000 0.0000 0.0000
K2 0.0000 0.0000 0.1385
K3 0.0000 0.0000 0.2805
Bi1 0.0000 0.0000 0.4090
Pt1 0.0000 0.0000 0.5000
# E: -2.797 eV per atom